No. 1
Compound: Pr2Ga6Ru
Source: Alexandria
Functional: PBE-GGA
Structure: optimized geometry

## Properties
Electronic total energy   -4.70 eV per atom
Total moment   0.00 μB/f.u.
Fermi-level density of states   7.843 states/eV per cell
ΔH_f (0 K)   -0.588 eV/atom
Polymorph energy (0 for the lowest one)   0 meV per atom

abc: 6.3188 6.3188 6.3188
angles: 60.00 60.00 60.00
Last column: nearest neighbours and their distance in Å.
Positions (direct):
Pr1 0.2500 0.2500 0.2500  12 Ga 3.17
Pr2 0.7500 0.7500 0.7500  12 Ga 3.17
Ga1 0.2172 0.2172 0.7828  1 Ru 2.53, 4 Ga 2.74
Ga2 0.2172 0.7828 0.2172  1 Ru 2.53, 4 Ga 2.74
Ga3 0.2172 0.7828 0.7828  1 Ru 2.53, 4 Ga 2.74
Ga4 0.7828 0.2172 0.2172  1 Ru 2.53, 4 Ga 2.74
Ga5 0.7828 0.2172 0.7828  1 Ru 2.53, 4 Ga 2.74
Ga6 0.7828 0.7828 0.2172  1 Ru 2.53, 4 Ga 2.74
Ru1 0.5000 0.5000 0.5000  6 Ga 2.53


No. 2
Compound: Pr3Ga2Ru
Source: Alexandria
Functional: PBE-GGA
Structure: optimized geometry

## Properties
Electronic total energy   -5.40 eV per atom
Total moment   0.00 μB/f.u.
Fermi-level density of states   23.549 states/eV per cell
ΔH_f (0 K)   -0.460 eV/atom

abc: 12.3607 4.4877 11.2752
angles: 90.00 90.00 90.00
Last column: nearest neighbours and their distance in Å.
Positions (direct):
Pr1 0.0525 0.2500 0.1139  1 Ru 2.89, 2 Ga 3.10
Pr2 0.1159 0.7500 0.5533  3 Ru 3.02-3.12, 5 Ga 3.12-3.24
Pr3 0.2308 0.2500 0.7871  2 Ru 3.06, 4 Ga 3.14-3.20
Pr4 0.2692 0.7500 0.2871  2 Ru 3.06, 4 Ga 3.14-3.20
Pr5 0.3841 0.2500 0.0533  3 Ru 3.02-3.12, 5 Ga 3.12-3.24
Pr6 0.4475 0.7500 0.6139  1 Ru 2.89, 2 Ga 3.10
Pr7 0.5525 0.2500 0.3861  1 Ru 2.89, 2 Ga 3.10
Pr8 0.6159 0.7500 0.9467  3 Ru 3.02-3.12, 5 Ga 3.12-3.24
Pr9 0.7308 0.2500 0.7129  2 Ru 3.06, 4 Ga 3.14-3.20
Pr10 0.7692 0.7500 0.2129  2 Ru 3.06, 4 Ga 3.14-3.20
Pr11 0.8841 0.2500 0.4467  3 Ru 3.02-3.12, 5 Ga 3.12-3.24
Pr12 0.9475 0.7500 0.8861  1 Ru 2.89, 2 Ga 3.10
Ga1 0.0151 0.7500 0.2996  2 Ru 2.65
Ga2 0.2052 0.7500 0.9880  1 Ru 2.65
Ga3 0.2948 0.2500 0.4880  1 Ru 2.65
Ga4 0.4849 0.2500 0.7996  2 Ru 2.65
Ga5 0.5151 0.7500 0.2004  2 Ru 2.65
Ga6 0.7052 0.7500 0.5120  1 Ru 2.65
Ga7 0.7948 0.2500 0.0120  1 Ru 2.65
Ga8 0.9849 0.2500 0.7004  2 Ru 2.65
Ru1 0.1151 0.2500 0.3605  3 Ga 2.65, 1 Pr 2.89
Ru2 0.3849 0.7500 0.8605  3 Ga 2.65, 1 Pr 2.89
Ru3 0.6151 0.2500 0.1395  3 Ga 2.65, 1 Pr 2.89
Ru4 0.8849 0.7500 0.6395  3 Ga 2.65, 1 Pr 2.89


No. 3
Compound: Pr8Ga2Ru
Source: Alexandria
Functional: PBE-GGA
Structure: optimized geometry

## Properties
Electronic total energy   -5.06 eV per atom
Total moment   0.00 μB/f.u.
Fermi-level density of states   12.401 states/eV per cell
ΔH_f (0 K)   -0.193 eV/atom
Polymorph energy (0 for the lowest one)   40 meV per atom

abc: 9.4067 9.4067 9.4067
angles: 145.93 135.94 56.84
Last column: nearest neighbours and their distance in Å.
Positions (direct):
Pr1 0.1362 0.3717 0.7645  1 Ru 2.83
Pr2 0.1983 0.1983 0.0000  6 Pr 3.31-3.52, 4 Ga 3.37-3.54
Pr3 0.2528 0.0000 0.2528  2 Ru 3.28, 6 Pr 3.48-3.57, 2 Ga 3.52
Pr4 0.3929 0.6283 0.7645  1 Ru 2.83
Pr5 0.6071 0.3717 0.2355  1 Ru 2.83
Pr6 0.7472 0.0000 0.7472  2 Ru 3.28, 6 Pr 3.48-3.57, 2 Ga 3.52
Pr7 0.8017 0.8017 0.0000  6 Pr 3.31-3.52, 4 Ga 3.37-3.54
Pr8 0.8638 0.6283 0.2355  1 Ru 2.83
Ga1 0.3151 0.8151 0.5000  12 Pr 3.35-3.61
Ga2 0.6849 0.1849 0.5000  12 Pr 3.35-3.61
Ru1 0.0000 0.5000 0.5000  4 Pr 2.83


No. 4
Compound: PrGa3Ru
Source: Alexandria
Functional: PBE-GGA
Structure: optimized geometry

## Properties
Electronic total energy   -5.05 eV per atom
Total moment   0.03 μB/f.u.
Fermi-level density of states   7.811 states/eV per cell
ΔH_f (0 K)   -0.424 eV/atom
Polymorph energy (0 for the lowest one)   0 meV per atom

abc: 6.7389 6.7389 6.7389
angles: 127.71 90.33 112.49
Last column: nearest neighbours and their distance in Å.
Positions (direct):
Pr1 0.3454 0.0954 0.2500  7 Ga 3.16-3.41
Pr2 0.6546 0.9046 0.7500  7 Ga 3.16-3.41
Ga1 0.1994 0.4494 0.7500  2 Ru 2.41
Ga2 0.2032 0.0000 0.7032  2 Ru 2.43
Ga3 0.2032 0.5000 0.2032  2 Ru 2.43
Ga4 0.7968 0.0000 0.2968  2 Ru 2.43
Ga5 0.7968 0.5000 0.7968  2 Ru 2.43
Ga6 0.8006 0.5506 0.2500  2 Ru 2.41
Ru1 0.0000 0.5000 0.5000  6 Ga 2.41-2.43
Ru2 0.5000 0.5000 0.0000  6 Ga 2.41-2.43


No. 5
Compound: Pr8Ga2Ru
Source: Alexandria
Functional: PBE-GGA
Structure: optimized geometry

## Properties
Electronic total energy   -5.10 eV per atom
Total moment   0.00 μB/f.u.
Fermi-level density of states   10.083 states/eV per cell
ΔH_f (0 K)   -0.232 eV/atom
Polymorph energy (0 for the lowest one)   0 meV per atom

abc: 9.5796 9.5796 7.0112
angles: 101.10 101.10 31.30
Last column: nearest neighbours and their distance in Å.
Positions (direct):
Pr1 0.0225 0.0225 0.2813  2 Ru 3.08, 1 Ga 3.18, 1 Pr 3.33
Pr2 0.2057 0.2057 0.8028  3 Ga 3.10-3.26
Pr3 0.3465 0.3465 0.5376  1 Ru 2.90, 3 Ga 3.18-3.22
Pr4 0.4084 0.4084 0.0552  1 Ru 3.24, 6 Pr 3.51-3.62, 2 Ga 3.56
Pr5 0.5916 0.5916 0.9448  1 Ru 3.24, 6 Pr 3.51-3.62, 2 Ga 3.56
Pr6 0.6535 0.6535 0.4624  1 Ru 2.90, 3 Ga 3.18-3.22
Pr7 0.7943 0.7943 0.1972  3 Ga 3.10-3.26
Pr8 0.9775 0.9775 0.7187  2 Ru 3.08, 1 Ga 3.18, 1 Pr 3.33
Ga1 0.1903 0.1903 0.2355  7 Pr 3.10-3.26
Ga2 0.8097 0.8097 0.7645  7 Pr 3.10-3.26
Ru1 0.5000 0.5000 0.5000  8 Pr 2.90-3.24


No. 6
Compound: Pr3Ga2Ru3
Source: Alexandria
Functional: PBE-GGA
Structure: optimized geometry

## Properties
Electronic total energy   -6.36 eV per atom
Total moment   0.00 μB/f.u.
Fermi-level density of states   27.052 states/eV per cell
ΔH_f (0 K)   -0.332 eV/atom

abc: 7.6821 15.1417 5.9875
angles: 90.00 90.00 90.00
Last column: nearest neighbours and their distance in Å.
Positions (direct):
Pr1 0.0344 0.1058 0.1490  6 Ru 2.99-3.22, 3 Ga 3.12-3.25
Pr2 0.0344 0.3942 0.1490  6 Ru 2.99-3.22, 3 Ga 3.12-3.25
Pr3 0.1857 0.2500 0.6049  2 Ru 2.93-3.03, 4 Ga 3.14-3.17
Pr4 0.3143 0.7500 0.1049  2 Ru 2.93-3.03, 4 Ga 3.14-3.17
Pr5 0.4656 0.6058 0.6490  6 Ru 2.99-3.22, 3 Ga 3.12-3.25
Pr6 0.4656 0.8942 0.6490  6 Ru 2.99-3.22, 3 Ga 3.12-3.25
Pr7 0.5344 0.1058 0.3510  6 Ru 2.99-3.22, 3 Ga 3.12-3.25
Pr8 0.5344 0.3942 0.3510  6 Ru 2.99-3.22, 3 Ga 3.12-3.25
Pr9 0.6857 0.2500 0.8951  2 Ru 2.93-3.03, 4 Ga 3.14-3.17
Pr10 0.8143 0.7500 0.3951  2 Ru 2.93-3.03, 4 Ga 3.14-3.17
Pr11 0.9656 0.6058 0.8510  6 Ru 2.99-3.22, 3 Ga 3.12-3.25
Pr12 0.9656 0.8942 0.8510  6 Ru 2.99-3.22, 3 Ga 3.12-3.25
Ga1 0.1068 0.6029 0.3618  4 Ru 2.50-2.61
Ga2 0.1068 0.8971 0.3618  4 Ru 2.50-2.61
Ga3 0.3932 0.1029 0.8618  4 Ru 2.50-2.61
Ga4 0.3932 0.3971 0.8618  4 Ru 2.50-2.61
Ga5 0.6068 0.6029 0.1382  4 Ru 2.50-2.61
Ga6 0.6068 0.8971 0.1382  4 Ru 2.50-2.61
Ga7 0.8932 0.1029 0.6382  4 Ru 2.50-2.61
Ga8 0.8932 0.3971 0.6382  4 Ru 2.50-2.61
Ru1 0.1690 0.7500 0.5754  2 Ga 2.61
Ru2 0.1891 0.0315 0.5915  3 Ga 2.50-2.54
Ru3 0.1891 0.4685 0.5915  3 Ga 2.50-2.54
Ru4 0.3109 0.5315 0.0915  3 Ga 2.50-2.54
Ru5 0.3109 0.9685 0.0915  3 Ga 2.50-2.54
Ru6 0.3310 0.2500 0.0754  2 Ga 2.61
Ru7 0.6690 0.7500 0.9246  2 Ga 2.61
Ru8 0.6891 0.0315 0.9085  3 Ga 2.50-2.54
Ru9 0.6891 0.4685 0.9085  3 Ga 2.50-2.54
Ru10 0.8109 0.5315 0.4085  3 Ga 2.50-2.54
Ru11 0.8109 0.9685 0.4085  3 Ga 2.50-2.54
Ru12 0.8310 0.2500 0.4246  2 Ga 2.61


No. 7
Compound: Pr6Ga2Ru
Source: Alexandria
Functional: PBE-GGA
Structure: optimized geometry

## Properties
Electronic total energy   -4.97 eV per atom
Total moment   0.00 μB/f.u.
Fermi-level density of states   22.341 states/eV per cell
ΔH_f (0 K)   -0.083 eV/atom

abc: 7.3413 7.3413 11.7098
angles: 90.00 90.00 90.00
Last column: nearest neighbours and their distance in Å.
Positions (direct):
Pr1 0.1991 0.1991 0.1696  1 Ru 2.87, 2 Ga 3.12-3.16
Pr2 0.1991 0.1991 0.8304  1 Ru 2.87, 2 Ga 3.12-3.16
Pr3 0.2373 0.2373 0.5000  1 Ru 2.73, 2 Ga 2.90
Pr4 0.2627 0.7373 0.0000  1 Ru 2.73, 2 Ga 2.90
Pr5 0.3009 0.6991 0.3304  1 Ru 2.87, 2 Ga 3.12-3.16
Pr6 0.3009 0.6991 0.6696  1 Ru 2.87, 2 Ga 3.12-3.16
Pr7 0.6991 0.3009 0.3304  1 Ru 2.87, 2 Ga 3.12-3.16
Pr8 0.6991 0.3009 0.6696  1 Ru 2.87, 2 Ga 3.12-3.16
Pr9 0.7373 0.2627 0.0000  1 Ru 2.73, 2 Ga 2.90
Pr10 0.7627 0.7627 0.5000  1 Ru 2.73, 2 Ga 2.90
Pr11 0.8009 0.8009 0.1696  1 Ru 2.87, 2 Ga 3.12-3.16
Pr12 0.8009 0.8009 0.8304  1 Ru 2.87, 2 Ga 3.12-3.16
Ga1 0.0000 0.0000 0.3688  6 Pr 2.90-3.16, 1 Ga 3.07
Ga2 0.0000 0.0000 0.6312  6 Pr 2.90-3.16, 1 Ga 3.07
Ga3 0.5000 0.5000 0.1312  6 Pr 2.90-3.16, 1 Ga 3.07
Ga4 0.5000 0.5000 0.8688  6 Pr 2.90-3.16, 1 Ga 3.07
Ru1 0.0000 0.0000 0.0000  6 Pr 2.73-2.87
Ru2 0.5000 0.5000 0.5000  6 Pr 2.73-2.87


No. 8
Compound: Pr2Ga9Ru6
Source: Alexandria
Functional: PBE-GGA
Structure: optimized geometry

## Properties
Electronic total energy   -5.70 eV per atom
Total moment   1.39 μB/f.u.
Fermi-level density of states   16.075 states/eV per cell
ΔH_f (0 K)   -0.263 eV/atom

abc: 5.5459 5.5459 12.0227
angles: 90.00 90.00 120.00
Last column: nearest neighbours and their distance in Å.
Positions (direct):
Pr1 0.0000 0.0000 0.1684  6 Ru 3.20, 12 Ga 3.43-3.44
Pr2 0.0000 0.0000 0.8316  6 Ru 3.20, 12 Ga 3.43-3.44
Ga1 0.0000 0.5000 0.0000  4 Ru 2.61, 4 Ga 2.77
Ga2 0.0000 0.5000 0.3377  4 Ru 2.52-2.56, 4 Ga 2.77
Ga3 0.0000 0.5000 0.6623  4 Ru 2.52-2.56, 4 Ga 2.77
Ga4 0.5000 0.0000 0.0000  4 Ru 2.61, 4 Ga 2.77
Ga5 0.5000 0.0000 0.3377  4 Ru 2.52-2.56, 4 Ga 2.77
Ga6 0.5000 0.0000 0.6623  4 Ru 2.52-2.56, 4 Ga 2.77
Ga7 0.5000 0.5000 0.0000  4 Ru 2.61, 4 Ga 2.77
Ga8 0.5000 0.5000 0.3377  4 Ru 2.52-2.56, 4 Ga 2.77
Ga9 0.5000 0.5000 0.6623  4 Ru 2.52-2.56, 4 Ga 2.77
Ru1 0.3333 0.6667 0.1714  6 Ga 2.56-2.61
Ru2 0.3333 0.6667 0.5000  6 Ga 2.52
Ru3 0.3333 0.6667 0.8286  6 Ga 2.56-2.61
Ru4 0.6667 0.3333 0.1714  6 Ga 2.56-2.61
Ru5 0.6667 0.3333 0.5000  6 Ga 2.52
Ru6 0.6667 0.3333 0.8286  6 Ga 2.56-2.61


No. 9
Compound: Pr3Ga2SiRu3
Source: Alexandria
Functional: PBE-GGA
Structure: optimized geometry

## Properties
Electronic total energy   -6.38 eV per atom
Total moment   0.00 μB/f.u.
Fermi-level density of states   3.721 states/eV per cell
E_form (uncorrected)   -40.39 kJ per mole of atoms

abc: 7.6360 7.6360 3.6230
angles: 90.00 90.00 120.00
Last column: nearest neighbours and their distance in Å.
Positions (direct):
Pr1 0.0000 0.6158 0.0000  1 Si 2.93, 4 Ga 2.99, 4 Ru 3.13
Pr2 0.3842 0.3842 0.0000  1 Si 2.93, 4 Ga 2.99, 4 Ru 3.13
Pr3 0.6158 0.0000 0.0000  1 Si 2.93, 4 Ga 2.99, 4 Ru 3.13
Ga1 0.3333 0.6667 0.5000  6 Pr 2.99, 3 Ru 3.02
Ga2 0.6667 0.3333 0.5000  6 Pr 2.99, 3 Ru 3.02
Si1 0.0000 0.0000 0.0000  6 Ru 2.52
Ru1 0.0000 0.2290 0.5000  2 Si 2.52
Ru2 0.2290 0.0000 0.5000  2 Si 2.52
Ru3 0.7710 0.7710 0.5000  2 Si 2.52


No. 10
Compound: PrGa2SiRu2
Source: Alexandria
Functional: PBE-GGA
Structure: optimized geometry

## Properties
Electronic total energy   -6.22 eV per atom
Total moment   0.00 μB/f.u.
Fermi-level density of states   4.218 states/eV per cell
E_form (uncorrected)   -40.37 kJ per mole of atoms

abc: 4.4403 4.4403 5.7641
angles: 90.00 90.00 90.00
Last column: nearest neighbours and their distance in Å.
Positions (direct):
Pr1 0.0000 0.0000 0.0000  2 Si 2.88
Ga1 0.5000 0.5000 0.2319  1 Ga 2.67, 4 Ru 2.70
Ga2 0.5000 0.5000 0.7681  1 Ga 2.67, 4 Ru 2.70
Si1 0.0000 0.0000 0.5000  4 Ru 2.22
Ru1 0.0000 0.5000 0.5000  2 Si 2.22
Ru2 0.5000 0.0000 0.5000  2 Si 2.22


No. 11
Compound: Pr2GaSi2Ru5
Source: Alexandria
Functional: PBE-GGA
Structure: optimized geometry

## Properties
Electronic total energy   -7.45 eV per atom
Total moment   0.00 μB/f.u.
Fermi-level density of states   11.246 states/eV per cell
E_form (uncorrected)   -45.40 kJ per mole of atoms

abc: 10.1654 10.1654 3.2706
angles: 90.00 90.00 90.00
Last column: nearest neighbours and their distance in Å.
Positions (direct):
Pr1 0.1742 0.3258 0.0000  3 Si 2.87-3.09, 10 Ru 2.99-3.16
Pr2 0.3258 0.8258 0.0000  3 Si 2.87-3.09, 10 Ru 2.99-3.16
Pr3 0.6742 0.1742 0.0000  3 Si 2.87-3.09, 10 Ru 2.99-3.16
Pr4 0.8258 0.6742 0.0000  3 Si 2.87-3.09, 10 Ru 2.99-3.16
Ga1 0.0000 0.0000 0.0000  8 Ru 2.77
Ga2 0.5000 0.5000 0.0000  8 Ru 2.77
Si1 0.1265 0.6265 0.0000  6 Ru 2.41-2.45
Si2 0.3735 0.1265 0.0000  6 Ru 2.41-2.45
Si3 0.6265 0.8735 0.0000  6 Ru 2.41-2.45
Si4 0.8735 0.3735 0.0000  6 Ru 2.41-2.45
Ru1 0.0000 0.5000 0.5000  4 Si 2.45
Ru2 0.0655 0.7903 0.5000  2 Si 2.41
Ru3 0.2097 0.0655 0.5000  2 Si 2.41
Ru4 0.2903 0.5655 0.5000  2 Si 2.41
Ru5 0.4345 0.2903 0.5000  2 Si 2.41
Ru6 0.5000 0.0000 0.5000  4 Si 2.45
Ru7 0.5655 0.7097 0.5000  2 Si 2.41
Ru8 0.7097 0.4345 0.5000  2 Si 2.41
Ru9 0.7903 0.9345 0.5000  2 Si 2.41
Ru10 0.9345 0.2097 0.5000  2 Si 2.41


No. 12
Compound: PrGaSn2Ru2
Source: Alexandria
Functional: PBE-GGA
Structure: optimized geometry

## Properties
Electronic total energy   -5.95 eV per atom
Total moment   0.04 μB/f.u.
Fermi-level density of states   5.461 states/eV per cell
ΔH_f (0 K)   -0.226 eV/atom

abc: 4.6459 4.6459 6.0486
angles: 90.00 90.00 90.00
Last column: nearest neighbours and their distance in Å.
Positions (direct):
Pr1 0.0000 0.0000 0.0000  2 Ga 3.02
Ga1 0.0000 0.0000 0.5000  4 Ru 2.32
Sn1 0.5000 0.5000 0.2375  4 Ru 2.81, 1 Sn 2.87
Sn2 0.5000 0.5000 0.7625  4 Ru 2.81, 1 Sn 2.87
Ru1 0.0000 0.5000 0.5000  2 Ga 2.32
Ru2 0.5000 0.0000 0.5000  2 Ga 2.32